Run A
K2ClO | PBE-GGA | relaxed

```
data_K2ClO
_cell_length_a 7.266
_cell_length_b 7.266
_cell_length_c 7.266
_cell_angle_alpha 90.00
_cell_angle_beta 90.00
_cell_angle_gamma 90.00
_symmetry_space_group_name_H-M 'F m -3 m'
_symmetry_Int_Tables_number 225
_symmetry_space_group_name_Hall '-F 4 2 3'
loop_
_atom_site_label
_atom_site_type_symbol
_atom_site_fract_x
_atom_site_fract_y
_atom_site_fract_z
K1 K 0.250 0.250 0.250
Cl1 Cl 0.000 0.000 0.000
O1 O 0.000 0.000 0.500
```

Output
volume = 23.971 A^3/atom
crystal system = cubic

=====

Run B
K2ClO | PBE-GGA | relaxed

```
data_K2ClO
_cell_length_a 6.507
_cell_length_b 6.507
_cell_length_c 13.407
_cell_angle_alpha 90.00
_cell_angle_beta 90.00
_cell_angle_gamma 90.00
_symmetry_space_group_name_H-M 'I -4 2 d'
_symmetry_Int_Tables_number 122
_symmetry_space_group_name_Hall 'I -4 2bw'
loop_
_atom_site_label
_atom_site_type_symbol
_atom_site_fract_x
_atom_site_fract_y
_atom_site_fract_z
K1 K 0.197 0.250 0.125
Cl1 Cl 0.000 0.000 0.500
O1 O 0.000 0.000 0.000
```

Output
volume = 35.485 A^3/atom
crystal system = tetragonal

=====

run B wins, 0.040 eV/atom ahead of the next structure.

=====

Run A
K2ClO2 | PBE-GGA | relaxed

```
data_K2ClO2
_cell_length_a 3.376
_cell_length_b 3.376
_cell_length_c 16.669
_cell_angle_alpha 90.00
_cell_angle_beta 90.00
_cell_angle_gamma 90.00
_symmetry_space_group_name_H-M 'I 4/m m m'
_symmetry_Int_Tables_number 139
_symmetry_space_group_name_Hall '-I 4 2'
loop_
_atom_site_label
_atom_site_type_symbol
_atom_site_fract_x
_atom_site_fract_y
_atom_site_fract_z
K1 K 0.000 0.000 0.123
Cl1 Cl 0.000 0.000 0.500
O1 O 0.000 0.500 0.250
```

Output
volume = 18.998 A^3/atom
crystal system = tetragonal

=====

Run B
K2ClO2 | PBE-GGA | relaxed

```
data_K2ClO2
_cell_length_a 6.735
_cell_length_b 6.735
_cell_length_c 3.980
_cell_angle_alpha 90.00
_cell_angle_beta 90.00
_cell_angle_gamma 90.00
_symmetry_space_group_name_H-M 'P 4/m b m'
_symmetry_Int_Tables_number 127
_symmetry_space_group_name_Hall '-P 4 2ab'
loop_
_atom_site_label
_atom_site_type_symbol
_atom_site_fract_x
_atom_site_fract_y
_atom_site_fract_z
K1 K 0.153 0.347 0.000
Cl1 Cl 0.000 0.000 0.500
O1 O 0.167 0.667 0.500
```

Output
volume = 18.053 A^3/atom
crystal system = tetragonal

=====

run A wins, 0.041 eV/atom ahead of the next structure.

=====

Run A
K2ClO2 | PBE-GGA | relaxed

```
data_K2ClO2
_cell_length_a 9.484
_cell_length_b 5.202
_cell_length_c 5.236
_cell_angle_alpha 90.00
_cell_angle_beta 123.28
_cell_angle_gamma 90.00
_symmetry_space_group_name_H-M 'C 1 2/m 1'
_symmetry_Int_Tables_number 12
_symmetry_space_group_name_Hall '-C 2y'
loop_
_atom_site_label
_atom_site_type_symbol
_atom_site_fract_x
_atom_site_fract_y
_atom_site_fract_z
K1 K 0.247 0.000 0.247
Cl1 Cl 0.000 0.000 0.500
O1 O 0.086 0.500 0.086
```

Output
volume = 21.594 A^3/atom
crystal system = monoclinic

=====

Run B
K2ClO2 | PBE-GGA | relaxed

```
data_K2ClO2
_cell_length_a 8.057
_cell_length_b 8.057
_cell_length_c 4.163
_cell_angle_alpha 90.00
_cell_angle_beta 90.00
_cell_angle_gamma 90.00
_symmetry_space_group_name_H-M 'P 4/m b m'
_symmetry_Int_Tables_number 127
_symmetry_space_group_name_Hall '-P 4 2ab'
loop_
_atom_site_label
_atom_site_type_symbol
_atom_site_fract_x
_atom_site_fract_y
_atom_site_fract_z
K1 K 0.163 0.337 0.000
Cl1 Cl 0.000 0.000 0.000
O1 O 0.060 0.560 0.500
```

Output
volume = 27.024 A^3/atom
crystal system = tetragonal

=====

run A wins, 0.048 eV/atom ahead of the next structure.

=====

Run A
KCl2O2 | PBE-GGA | relaxed

```
data_KCl2O2
_cell_length_a 4.508
_cell_length_b 4.508
_cell_length_c 10.226
_cell_angle_alpha 90.00
_cell_angle_beta 90.00
_cell_angle_gamma 90.00
_symmetry_space_group_name_H-M 'I 4/m m m'
_symmetry_Int_Tables_number 139
_symmetry_space_group_name_Hall '-I 4 2'
loop_
_atom_site_label
_atom_site_type_symbol
_atom_site_fract_x
_atom_site_fract_y
_atom_site_fract_z
K1 K 0.000 0.000 0.000
Cl1 Cl 0.000 0.000 0.280
O1 O 0.000 0.500 0.250
```

Output
volume = 20.782 A^3/atom
crystal system = tetragonal

=====

Run B
KCl2O2 | PBE-GGA | relaxed

```
data_KCl2O2
_cell_length_a 4.956
_cell_length_b 5.000
_cell_length_c 15.915
_cell_angle_alpha 85.12
_cell_angle_beta 87.82
_cell_angle_gamma 61.38
_symmetry_space_group_name_H-M 'P -1'
_symmetry_Int_Tables_number 2
_symmetry_space_group_name_Hall '-P 1'
loop_
_atom_site_label
_atom_site_type_symbol
_atom_site_fract_x
_atom_site_fract_y
_atom_site_fract_z
K1 K 0.228 0.184 0.246
Cl1 Cl 0.106 0.179 0.671
Cl2 Cl 0.108 0.134 0.837
O1 O 0.409 0.449 0.998
O2 O 0.421 0.584 0.527
```

Output
volume = 34.489 A^3/atom
crystal system = triclinic

=====

run B wins, 0.738 eV/atom ahead of the next structure.

=====

Run A
K2OsCl4O2 | PBE-GGA | relaxed

```
data_K2OsCl4O2
_cell_length_a 11.002
_cell_length_b 7.166
_cell_length_c 5.716
_cell_angle_alpha 90.00
_cell_angle_beta 103.39
_cell_angle_gamma 90.00
_symmetry_space_group_name_H-M 'C 1 2/m 1'
_symmetry_Int_Tables_number 12
_symmetry_space_group_name_Hall '-C 2y'
loop_
_atom_site_label
_atom_site_type_symbol
_atom_site_fract_x
_atom_site_fract_y
_atom_site_fract_z
K1 K 0.174 0.000 0.302
Os1 Os 0.000 0.500 0.000
Cl1 Cl 0.093 0.257 0.807
O1 O 0.132 0.500 0.243
```

Output
volume = 24.355 A^3/atom
crystal system = monoclinic

=====

Run B
K2OsCl4O2 | PBE-GGA | relaxed

```
data_K2OsCl4O2
_cell_length_a 7.177
_cell_length_b 7.177
_cell_length_c 8.874
_cell_angle_alpha 90.00
_cell_angle_beta 90.00
_cell_angle_gamma 90.00
_symmetry_space_group_name_H-M 'I 4/m m m'
_symmetry_Int_Tables_number 139
_symmetry_space_group_name_Hall '-I 4 2'
loop_
_atom_site_label
_atom_site_type_symbol
_atom_site_fract_x
_atom_site_fract_y
_atom_site_fract_z
K1 K 0.000 0.500 0.250
Os1 Os 0.000 0.000 0.000
Cl1 Cl 0.238 0.238 0.000
O1 O 0.000 0.000 0.198
```

Output
volume = 25.394 A^3/atom
crystal system = tetragonal

=====

run B wins, 0.017 eV/atom ahead of the next structure.

=====

Run A
KP2ClO | PBE-GGA | relaxed

```
data_KP2ClO
_cell_length_a 4.017
_cell_length_b 4.017
_cell_length_c 7.608
_cell_angle_alpha 90.00
_cell_angle_beta 90.00
_cell_angle_gamma 90.00
_symmetry_space_group_name_H-M 'P 4/m m m'
_symmetry_Int_Tables_number 123
_symmetry_space_group_name_Hall '-P 4 2'
loop_
_atom_site_label
_atom_site_type_symbol
_atom_site_fract_x
_atom_site_fract_y
_atom_site_fract_z
K1 K 0.000 0.000 0.000
P1 P 0.000 0.500 0.500
Cl1 Cl 0.500 0.500 0.000
O1 O 0.500 0.500 0.500
```

Output
volume = 24.553 A^3/atom
crystal system = tetragonal

=====

Run B
KP2ClO | PBE-GGA | relaxed

```
data_KP2ClO
_cell_length_a 6.621
_cell_length_b 6.621
_cell_length_c 4.828
_cell_angle_alpha 90.00
_cell_angle_beta 90.00
_cell_angle_gamma 90.00
_symmetry_space_group_name_H-M 'P 4/m m m'
_symmetry_Int_Tables_number 123
_symmetry_space_group_name_Hall '-P 4 2'
loop_
_atom_site_label
_atom_site_type_symbol
_atom_site_fract_x
_atom_site_fract_y
_atom_site_fract_z
K1 K 0.000 0.000 0.000
P1 P 0.000 0.500 0.000
Cl1 Cl 0.500 0.500 0.500
O1 O 0.000 0.000 0.500
```

Output
volume = 42.321 A^3/atom
crystal system = tetragonal

=====

Run C
KP2ClO | PBE-GGA | relaxed

```
data_KP2ClO
_cell_length_a 4.749
_cell_length_b 4.749
_cell_length_c 4.755
_cell_angle_alpha 90.00
_cell_angle_beta 90.00
_cell_angle_gamma 90.00
_symmetry_space_group_name_H-M 'P 4/m m m'
_symmetry_Int_Tables_number 123
_symmetry_space_group_name_Hall '-P 4 2'
loop_
_atom_site_label
_atom_site_type_symbol
_atom_site_fract_x
_atom_site_fract_y
_atom_site_fract_z
K1 K 0.000 0.000 0.000
P1 P 0.000 0.500 0.500
Cl1 Cl 0.500 0.500 0.500
O1 O 0.500 0.500 0.000
```

Output
volume = 21.451 A^3/atom
crystal system = tetragonal

=====

run A wins, 1.023 eV/atom ahead of the next structure.